Entry from Alexandria: an optimized crystal structure of BaCu2Ag (PBE).

The magnetization comes out at 0.000 μB per cell. Its total energy is -12.31 eV for the cell shown. The value obtained for the formation energy from the elements is 0.1652 eV per atom.

It has space group P4/mmm (No. 123), with a = 3.552 Å, b = 3.552 Å, c = 6.934 Å, α = 90.00°, β = 90.00° and γ = 90.00°. The asymmetric unit holds Ba at (0.000, 0.000, 0.000), Cu at (0.500, 0.500, 0.326) and Ag at (0.000, 0.000, 0.500).